# 1
Here is Er2In3Cu after structural relaxation from the Alexandria database. Energies are from PBE.

Output
Total moment (μB/atom): 0.000
Distance to the lowest polymorph of the same formula (kJ/mol of atoms): 1.87

Cell lengths 3.5530, 4.7540, 8.3152 Å; angles 90.00, 90.00, 90.00 degrees
Space group Pmm2 (No. 25)
Inequivalent atoms, fractional coordinates:
Er 0.0000 0.0000 0.0000
Er 0.0000 0.5000 0.4769
In 0.5000 0.0000 0.6303
In 0.5000 0.5000 0.1682
In 0.5000 0.5000 0.8227
Cu 0.5000 0.0000 0.3116

# 2
Here is ErInCu2 after structural relaxation from the Alexandria database. Energies are from PBE.

Output
Total moment (μB/atom): 0.000
Calculated total energy (eV/atom): -4.011

Cell lengths 4.5952, 4.5952, 3.5822 Å; angles 90.00, 90.00, 90.00 degrees
Space group P4/mmm (No. 123)
Inequivalent atoms, fractional coordinates:
Er 0.0000 0.0000 0.0000
In 0.5000 0.5000 0.0000
Cu 0.0000 0.5000 0.5000

# 3
Here is ErInCu2 after structural relaxation from the Alexandria database. Energies are from PBE.

Output
Total moment (μB/atom): 0.000
Calculated total energy (eV/atom): -4.000

Cell lengths 3.4360, 3.4360, 6.4414 Å; angles 90.00, 90.00, 90.00 degrees
Space group P4/mmm (No. 123)
Inequivalent atoms, fractional coordinates:
Er 0.0000 0.0000 0.0000
In 0.0000 0.0000 0.5000
Cu 0.5000 0.5000 0.2535

# 4
Here is ErIn2Cu after structural relaxation from the Alexandria database. Energies are from PBE.

Output
Total moment (μB/atom): 0.000
Calculated total energy (eV/atom): -3.765

Cell lengths 4.4257, 4.4257, 4.4501 Å; angles 90.00, 90.00, 90.00 degrees
Space group P4/mmm (No. 123)
Inequivalent atoms, fractional coordinates:
Er 0.0000 0.0000 0.0000
In 0.0000 0.5000 0.5000
Cu 0.5000 0.5000 0.0000

# 5
Here is ErIn2Cu after structural relaxation from the Alexandria database. Energies are from PBE.

Output
Total moment (μB/atom): 0.085
Calculated total energy (eV/atom): -3.705

Cell lengths 3.3538, 3.3538, 7.6357 Å; angles 90.00, 90.00, 90.00 degrees
Space group P4/mmm (No. 123)
Inequivalent atoms, fractional coordinates:
Er 0.0000 0.0000 0.0000
In 0.5000 0.5000 0.2925
Cu 0.0000 0.0000 0.5000

# 6
Here is Er5In4Cu after structural relaxation from the Alexandria database. Energies are from PBE.

Output
Total moment (μB/atom): 0.001
Calculated total energy (eV/atom): -4.204

Cell lengths 3.5147, 3.5147, 20.1692 Å; angles 90.00, 90.00, 90.00 degrees
Space group P4/mmm (No. 123)
Inequivalent atoms, fractional coordinates:
Er 0.0000 0.0000 0.0000
Er 0.0000 0.0000 0.2088
Er 0.0000 0.0000 0.4171
In 0.5000 0.5000 0.1046
In 0.5000 0.5000 0.3131
Cu 0.5000 0.5000 0.5000

# 7
Here is Er4InCu2 after structural relaxation from the Alexandria database. Energies are from PBE.

Output
Total moment (μB/atom): 0.000
Calculated total energy (eV/atom): -4.239

Cell lengths 4.8496, 4.8496, 26.5951 Å; angles 90.00, 90.00, 120.00 degrees
Space group R-3m (No. 166, hexagonal axes)
Inequivalent atoms, fractional coordinates:
Er 0.0000 0.0000 0.1156
Er 0.0000 0.0000 0.2959
In 0.0000 0.0000 0.5000
Cu 0.0000 0.0000 0.4009

# 8
Here is Er6In2Cu after structural relaxation from the Alexandria database. Energies are from PBE.

Output
Total moment (μB/atom): 0.000
Calculated total energy (eV/atom): -4.138

Cell lengths 5.0228, 7.1942, 14.9248 Å; angles 90.00, 90.00, 90.00 degrees
Space group Immm (No. 71)
Inequivalent atoms, fractional coordinates:
Er 0.0000 0.2300 0.0000
Er 0.0000 0.2600 0.3421
In 0.0000 0.5000 0.1665
Cu 0.0000 0.5000 0.5000